Entry 1:
V3P6O20: PBEsol geometry, SCAN.

a b c (Å): 12.5489 8.4371 8.4371
angles (deg): 107.81 90.00 90.00
Last column: nearest neighbours and their distance in Å.
Fractional coordinates of all 58 atoms:
V 0.0000 0.0000 0.0000  4 O 1.84-1.86
V 0.2051 0.0288 0.5646  6 O 1.92-1.99
V 0.2949 0.5288 0.0646  6 O 1.92-1.99
V 0.5000 0.5000 0.5000  4 O 1.84-1.86
V 0.7051 0.0646 0.5288  6 O 1.92-1.99
V 0.7949 0.5646 0.0288  6 O 1.92-1.99
P 0.0550 0.6099 0.9768  4 O 1.50-1.62
P 0.1962 0.4531 0.7045  4 O 1.50-1.60
P 0.2177 0.1300 0.9722  4 O 1.50-1.61
P 0.2823 0.6300 0.4722  4 O 1.50-1.61
P 0.3038 0.9531 0.2045  4 O 1.50-1.60
P 0.4450 0.1099 0.4768  4 O 1.50-1.62
P 0.5550 0.4768 0.1099  4 O 1.50-1.62
P 0.6962 0.2045 0.9531  4 O 1.50-1.60
P 0.7177 0.4722 0.6300  4 O 1.50-1.61
P 0.7823 0.9722 0.1300  4 O 1.50-1.61
P 0.8038 0.7045 0.4531  4 O 1.50-1.60
P 0.9450 0.9768 0.6099  4 O 1.50-1.62
O 0.0528 0.9994 0.5425  1 P 1.50
O 0.0552 0.7998 0.0058  1 P 1.54
O 0.0841 0.5293 0.7815  2 P 1.60-1.62
O 0.1107 0.1523 0.0694  1 P 1.55
O 0.1412 0.5619 0.0790  1 P 1.51
O 0.1836 0.2683 0.6383  1 P 1.50
O 0.1992 0.0226 0.7943  1 P 1.51
O 0.2054 0.5209 0.5503  2 P 1.58-1.61
O 0.2160 0.0236 0.3282  1 P 1.51
O 0.2253 0.7914 0.4934  1 P 1.50
O 0.2747 0.2914 0.9934  1 P 1.50
O 0.2840 0.5236 0.8282  1 P 1.51
O 0.2946 0.0209 0.0503  2 P 1.58-1.61
O 0.3008 0.5226 0.2943  1 P 1.51
O 0.3164 0.7683 0.1383  1 P 1.50
O 0.3588 0.0619 0.5790  1 P 1.51
O 0.3893 0.6523 0.5694  1 P 1.55
O 0.4159 0.0293 0.2815  2 P 1.60-1.62
O 0.4448 0.2998 0.5058  1 P 1.54
O 0.4472 0.4994 0.0425  1 P 1.50
O 0.5528 0.0425 0.4994  1 P 1.50
O 0.5552 0.5058 0.2998  1 P 1.54
O 0.5841 0.2815 0.0293  2 P 1.60-1.62
O 0.6107 0.5694 0.6523  1 P 1.55
O 0.6412 0.5790 0.0619  1 P 1.51
O 0.6836 0.1383 0.7683  1 P 1.50
O 0.6992 0.2943 0.5226  1 P 1.51
O 0.7054 0.0503 0.0209  2 P 1.58-1.61
O 0.7160 0.8282 0.5236  1 P 1.51
O 0.7253 0.9934 0.2914  1 P 1.50
O 0.7747 0.4934 0.7914  1 P 1.50
O 0.7840 0.3282 0.0236  1 P 1.51
O 0.7946 0.5503 0.5209  2 P 1.58-1.61
O 0.8008 0.7943 0.0226  1 P 1.51
O 0.8164 0.6383 0.2683  1 P 1.50
O 0.8588 0.0790 0.5619  1 P 1.51
O 0.8893 0.0694 0.1523  1 P 1.55
O 0.9159 0.7815 0.5293  2 P 1.60-1.62
O 0.9448 0.0058 0.7998  1 P 1.54
O 0.9472 0.5425 0.9994  1 P 1.50

The value obtained for the formation energy (no corrections) is -2.47 eV/atom. Its total DFT energy (no corrections) is -10.7314 eV/atom.

---

Entry 2:
VP3O9: PBEsol geometry, SCAN.

a b c (Å): 8.3914 8.4198 9.0975
angles (deg): 90.00 90.00 90.00
Last column: nearest neighbours and their distance in Å.
Fractional coordinates of all 52 atoms:
V 0.1258 0.0967 0.1385  6 O 1.96-2.06
V 0.3742 0.9033 0.6385  6 O 1.96-2.06
V 0.6258 0.4033 0.8615  6 O 1.96-2.06
V 0.8742 0.5967 0.3615  6 O 1.96-2.06
P 0.0691 0.7282 0.0806  4 O 1.50-1.60
P 0.0701 0.9475 0.8336  4 O 1.49-1.62
P 0.2152 0.5609 0.5522  4 O 1.49-1.62
P 0.2848 0.4391 0.0522  4 O 1.49-1.62
P 0.4299 0.0525 0.3336  4 O 1.49-1.62
P 0.4309 0.2718 0.5806  4 O 1.50-1.60
P 0.5691 0.7718 0.9194  4 O 1.50-1.60
P 0.5701 0.5525 0.1664  4 O 1.49-1.62
P 0.7152 0.9391 0.4478  4 O 1.49-1.62
P 0.7848 0.0609 0.9478  4 O 1.49-1.62
P 0.9299 0.4475 0.6664  4 O 1.49-1.62
P 0.9309 0.2282 0.4194  4 O 1.50-1.60
O 0.0158 0.7888 0.9212  2 P 1.60-1.62
O 0.0663 0.1425 0.3466  1 P 1.50
O 0.1018 0.5274 0.6932  2 P 1.61-1.62
O 0.1116 0.5898 0.4200  1 P 1.50
O 0.1378 0.9022 0.6878  1 P 1.49
O 0.1389 0.8650 0.1653  1 P 1.50
O 0.1566 0.3244 0.0935  1 P 1.49
O 0.1701 0.0521 0.9307  1 P 1.50
O 0.2046 0.6089 0.0299  2 P 1.59
O 0.2954 0.3911 0.5299  2 P 1.59
O 0.3299 0.9479 0.4307  1 P 1.50
O 0.3434 0.6756 0.5935  1 P 1.49
O 0.3611 0.1349 0.6653  1 P 1.50
O 0.3622 0.0978 0.1878  1 P 1.49
O 0.3884 0.4102 0.9200  1 P 1.50
O 0.3982 0.4726 0.1932  2 P 1.61-1.62
O 0.4337 0.8575 0.8466  1 P 1.50
O 0.4842 0.2112 0.4212  2 P 1.60-1.62
O 0.5158 0.7112 0.0788  2 P 1.60-1.62
O 0.5663 0.3575 0.6534  1 P 1.50
O 0.6018 0.9726 0.3068  2 P 1.61-1.62
O 0.6116 0.9102 0.5800  1 P 1.50
O 0.6378 0.5978 0.3123  1 P 1.49
O 0.6389 0.6350 0.8347  1 P 1.50
O 0.6566 0.1756 0.9065  1 P 1.49
O 0.6701 0.4479 0.0693  1 P 1.50
O 0.7046 0.8911 0.9701  2 P 1.59
O 0.7954 0.1089 0.4701  2 P 1.59
O 0.8299 0.5521 0.5693  1 P 1.50
O 0.8434 0.8244 0.4065  1 P 1.49
O 0.8611 0.3650 0.3347  1 P 1.50
O 0.8622 0.4022 0.8122  1 P 1.49
O 0.8884 0.0898 0.0800  1 P 1.50
O 0.8982 0.0274 0.8068  2 P 1.61-1.62
O 0.9337 0.6425 0.1534  1 P 1.50
O 0.9842 0.2888 0.5788  2 P 1.60-1.62

The value obtained for the formation energy (no corrections) is -2.45 eV/atom. Its total DFT energy (no corrections) is -10.5079 eV/atom. The energy relative to the lowest polymorph listed for this composition comes out at 18 meV/atom.

---

Entry 3:
V2P3O12: PBEsol geometry, SCAN.

a b c (Å): 8.4620 8.4964 14.4157
angles (deg): 90.00 125.91 90.00
Last column: nearest neighbours and their distance in Å.
Fractional coordinates of all 68 atoms:
V 0.1292 0.0354 0.3803  6 O 1.85-1.89
V 0.1292 0.4646 0.8803  6 O 1.85-1.89
V 0.3690 0.0353 0.1199  6 O 1.85-1.88
V 0.3690 0.4647 0.6199  6 O 1.85-1.88
V 0.6310 0.5353 0.3801  6 O 1.85-1.88
V 0.6310 0.9647 0.8801  6 O 1.85-1.88
V 0.8708 0.5354 0.1197  6 O 1.85-1.89
V 0.8708 0.9646 0.6197  6 O 1.85-1.89
P 0.0267 0.7500 0.0003  4 O 1.53
P 0.0267 0.7500 0.5003  4 O 1.53
P 0.2523 0.1179 0.8551  4 O 1.53-1.54
P 0.2523 0.3821 0.3551  4 O 1.53-1.54
P 0.4581 0.6179 0.8552  4 O 1.53-1.54
P 0.4581 0.8821 0.3552  4 O 1.53-1.54
P 0.5419 0.1179 0.6448  4 O 1.53-1.54
P 0.5419 0.3821 0.1448  4 O 1.53-1.54
P 0.7477 0.6179 0.6449  4 O 1.53-1.54
P 0.7477 0.8821 0.1449  4 O 1.53-1.54
P 0.9733 0.2500 0.9997  4 O 1.53
P 0.9733 0.2500 0.4997  4 O 1.53
O 0.0152 0.6711 0.0919  1 P 1.53
O 0.0152 0.8289 0.5919  1 P 1.53
O 0.0699 0.6306 0.9383  1 P 1.53
O 0.0699 0.8694 0.4383  1 P 1.53
O 0.0882 0.0069 0.7661  1 P 1.54
O 0.0882 0.4931 0.2661  1 P 1.54
O 0.1670 0.1695 0.0905  1 P 1.53
O 0.1670 0.3305 0.5905  1 P 1.53
O 0.1871 0.2092 0.3244  1 P 1.54
O 0.1871 0.2908 0.8244  1 P 1.54
O 0.1955 0.6321 0.5614  1 P 1.53
O 0.1955 0.8679 0.0614  1 P 1.53
O 0.2780 0.5972 0.8551  1 P 1.53
O 0.2780 0.9028 0.3551  1 P 1.53
O 0.3015 0.0768 0.9725  1 P 1.53
O 0.3015 0.4232 0.4725  1 P 1.53
O 0.3551 0.0769 0.5281  1 P 1.53
O 0.3551 0.4231 0.0281  1 P 1.53
O 0.4302 0.0963 0.8532  1 P 1.53
O 0.4302 0.4037 0.3532  1 P 1.53
O 0.4416 0.5062 0.7657  1 P 1.54
O 0.4416 0.9938 0.2657  1 P 1.54
O 0.4622 0.7096 0.3239  1 P 1.54
O 0.4622 0.7904 0.8239  1 P 1.54
O 0.5378 0.2096 0.1761  1 P 1.54
O 0.5378 0.2904 0.6761  1 P 1.54
O 0.5584 0.0062 0.7343  1 P 1.54
O 0.5584 0.4938 0.2343  1 P 1.54
O 0.5698 0.5963 0.6468  1 P 1.53
O 0.5698 0.9037 0.1468  1 P 1.53
O 0.6449 0.5769 0.9719  1 P 1.53
O 0.6449 0.9231 0.4719  1 P 1.53
O 0.6985 0.5768 0.5275  1 P 1.53
O 0.6985 0.9232 0.0275  1 P 1.53
O 0.7220 0.0972 0.6449  1 P 1.53
O 0.7220 0.4028 0.1449  1 P 1.53
O 0.8045 0.1321 0.9386  1 P 1.53
O 0.8045 0.3679 0.4386  1 P 1.53
O 0.8129 0.7092 0.1756  1 P 1.54
O 0.8129 0.7908 0.6756  1 P 1.54
O 0.8330 0.6695 0.4095  1 P 1.53
O 0.8330 0.8305 0.9095  1 P 1.53
O 0.9118 0.5069 0.7339  1 P 1.54
O 0.9118 0.9931 0.2339  1 P 1.54
O 0.9301 0.1306 0.5617  1 P 1.53
O 0.9301 0.3694 0.0617  1 P 1.53
O 0.9848 0.1711 0.4081  1 P 1.53
O 0.9848 0.3289 0.9081  1 P 1.53

The value obtained for the formation energy (no corrections) is -2.46 eV/atom. Its total DFT energy (no corrections) is -10.7501 eV/atom.

---

Entry 4:
V2P5O16: PBEsol geometry, SCAN.

a b c (Å): 5.0865 6.7277 18.9111
angles (deg): 90.00 91.14 90.00
Last column: nearest neighbours and their distance in Å.
Fractional coordinates of all 46 atoms:
V 0.2484 0.1865 0.4069  6 O 1.90-1.99
V 0.2484 0.8135 0.9069  6 O 1.90-1.99
V 0.7516 0.1865 0.0931  6 O 1.90-1.99
V 0.7516 0.8135 0.5931  6 O 1.90-1.99
P 0.0000 0.2751 0.2500  4 O 1.50-1.60
P 0.0000 0.7249 0.7500  4 O 1.50-1.60
P 0.2467 0.1220 0.5756  4 O 1.52-1.61
P 0.2467 0.8780 0.0756  4 O 1.52-1.61
P 0.2570 0.4682 0.1317  4 O 1.50-1.61
P 0.2570 0.5318 0.6317  4 O 1.50-1.61
P 0.7430 0.4682 0.3683  4 O 1.50-1.61
P 0.7430 0.5318 0.8683  4 O 1.50-1.61
P 0.7533 0.1220 0.9244  4 O 1.52-1.61
P 0.7533 0.8780 0.4244  4 O 1.52-1.61
O 0.0275 0.0336 0.9258  1 P 1.52
O 0.0275 0.9664 0.4258  1 P 1.52
O 0.0496 0.3716 0.0857  1 P 1.50
O 0.0496 0.6284 0.5857  1 P 1.50
O 0.1481 0.1588 0.3052  1 P 1.50
O 0.1481 0.8412 0.8052  1 P 1.50
O 0.2019 0.4241 0.2136  2 P 1.60-1.61
O 0.2019 0.5759 0.7136  2 P 1.60-1.61
O 0.2285 0.2985 0.6332  2 P 1.58-1.61
O 0.2285 0.7015 0.1332  2 P 1.58-1.61
O 0.3208 0.2186 0.5060  1 P 1.52
O 0.3208 0.7814 0.0060  1 P 1.52
O 0.4546 0.0175 0.1062  1 P 1.52
O 0.4546 0.9825 0.6062  1 P 1.52
O 0.4614 0.4186 0.3830  1 P 1.50
O 0.4614 0.5814 0.8830  1 P 1.50
O 0.5386 0.4186 0.1170  1 P 1.50
O 0.5386 0.5814 0.6170  1 P 1.50
O 0.5454 0.0175 0.3938  1 P 1.52
O 0.5454 0.9825 0.8938  1 P 1.52
O 0.6792 0.2186 0.9940  1 P 1.52
O 0.6792 0.7814 0.4940  1 P 1.52
O 0.7715 0.2985 0.8668  2 P 1.58-1.61
O 0.7715 0.7015 0.3668  2 P 1.58-1.61
O 0.7981 0.4241 0.2864  2 P 1.60-1.61
O 0.7981 0.5759 0.7864  2 P 1.60-1.61
O 0.8519 0.1588 0.1948  1 P 1.50
O 0.8519 0.8412 0.6948  1 P 1.50
O 0.9504 0.3716 0.4143  1 P 1.50
O 0.9504 0.6284 0.9143  1 P 1.50
O 0.9725 0.0336 0.5742  1 P 1.52
O 0.9725 0.9664 0.0742  1 P 1.52

The value obtained for the formation energy (no corrections) is -2.48 eV/atom. Its total DFT energy (no corrections) is -10.5932 eV/atom.